Entry 1:
Material: Ac2GeSb
Method: DFT, PBE
State: relaxed

The structure in POSCAR format:
```
Ac2GeSb
1.0
-0.991 -1.809 4.173
-3.912 -2.449 0.605
2.169 -7.974 -0.346
Ac Ge Sb
2 1 1
direct
0.746 0.746 0.761
0.254 0.254 0.239
0.000 0.000 0.000
0.500 0.500 0.500
```

Computed properties:
space-group type	No. 166
M_tot	0.00	μB/cell
relative energy among the computed polymorphs	47	meV per atom
formation energy without anion corrections	-856	meV per atom
raw total energy	-5.095	eV per atom



Entry 2:
Material: AcGe2Sb
Method: DFT, PBE
State: relaxed

The structure in POSCAR format:
```
AcGe2Sb
1.0
5.321 0.000 0.000
2.660 4.608 0.000
2.660 1.536 4.345
Ge Ac Sb
2 1 1
direct
0.750 0.750 0.750
0.250 0.250 0.250
0.000 0.000 0.000
0.500 0.500 0.500
```

Computed properties:
space-group type	No. 225
M_tot	0.00	μB/cell
relative energy among the computed polymorphs	230	meV per atom
formation energy without anion corrections	-174	meV per atom
raw total energy	-4.540	eV per atom



Entry 3:
Material: Ac5Ge2Sb2
Method: DFT, PBE
State: relaxed

The structure in POSCAR format:
```
Ac5Ge2Sb2
1.0
8.777 0.000 0.000
0.000 7.761 -3.990
0.000 -0.078 9.392
Ge Ac Sb
4 10 4
direct
0.859 0.359 0.000
0.141 0.641 0.000
0.641 0.859 0.000
0.359 0.141 0.000
0.162 0.205 0.740
0.500 0.500 0.000
0.838 0.795 0.260
0.662 0.035 0.740
0.838 0.535 0.740
0.662 0.295 0.260
0.338 0.965 0.260
0.338 0.705 0.740
0.162 0.465 0.260
0.000 0.000 0.000
0.500 0.703 0.405
0.000 0.797 0.595
0.500 0.297 0.595
0.000 0.203 0.405
```

Computed properties:
space-group type	No. 64
M_tot	0.00	μB/cell
formation energy without anion corrections	-882	meV per atom
raw total energy	-5.107	eV per atom



Entry 4:
Material: Ac2GeSb
Method: DFT, PBE
State: relaxed

The structure in POSCAR format:
```
Ac2GeSb
1.0
6.659 0.000 0.000
0.000 6.654 0.258
0.000 -0.522 13.293
Ge Sb Ac
4 4 8
direct
0.249 0.000 0.875
0.751 0.500 0.375
0.249 0.500 0.625
0.751 0.000 0.125
0.251 0.500 0.125
0.251 0.000 0.375
0.749 0.500 0.875
0.749 0.000 0.625
0.749 0.000 0.879
0.249 0.000 0.629
0.749 0.500 0.621
0.251 0.000 0.121
0.249 0.500 0.871
0.251 0.500 0.379
0.751 0.500 0.129
0.751 0.000 0.371
```

Computed properties:
space-group type	No. 53
M_tot	0.00	μB/cell
relative energy among the computed polymorphs	57	meV per atom
formation energy without anion corrections	-846	meV per atom
raw total energy	-5.085	eV per atom



Entry 5:
Material: Ac5Ge2Sb
Method: DFT, PBE
State: relaxed

The structure in POSCAR format:
```
Ac5Ge2Sb
1.0
7.882 0.000 -3.721
-1.756 7.684 -3.721
-0.317 -0.398 9.538
Ac Ge Sb
10 4 2
direct
0.796 0.985 0.282
0.000 0.000 0.000
0.485 0.296 0.282
0.296 0.796 0.282
0.985 0.485 0.282
0.015 0.515 0.718
0.704 0.204 0.718
0.515 0.704 0.718
0.500 0.500 0.000
0.204 0.015 0.718
0.647 0.147 0.000
0.853 0.647 0.000
0.147 0.353 0.000
0.353 0.853 0.000
0.250 0.250 0.500
0.750 0.750 0.500
```

Computed properties:
space-group type	No. 140
M_tot	1.19	μB/cell
formation energy without anion corrections	-681	meV per atom
raw total energy	-4.919	eV per atom



Entry 6:
Material: AcGeSb3
Method: DFT, PBE
State: relaxed

The structure in POSCAR format:
```
AcGeSb3
1.0
-0.150 -5.276 1.165
5.042 -0.556 -1.867
1.942 1.035 4.937
Ge Sb Ac
1 3 1
direct
0.000 0.000 0.000
0.000 0.500 0.000
0.000 0.000 0.500
0.500 0.000 0.000
0.500 0.500 0.500
```

Computed properties:
space-group type	No. 221
M_tot	0.00	μB/cell
formation energy without anion corrections	-76	meV per atom
raw total energy	-4.295	eV per atom



Entry 7:
Material: Ac2GeSb
Method: DFT, PBE
State: relaxed

The structure in POSCAR format:
```
Ac2GeSb
1.0
5.675 0.000 0.000
2.837 4.914 0.000
2.837 1.638 4.633
Ac Ge Sb
2 1 1
direct
0.750 0.750 0.750
0.250 0.250 0.250
0.500 0.500 0.500
0.000 0.000 0.000
```

Computed properties:
space-group type	No. 225
M_tot	0.00	μB/cell
relative energy among the computed polymorphs	222	meV per atom
formation energy without anion corrections	-680	meV per atom
raw total energy	-4.920	eV per atom



Entry 8:
Material: Ac3GeSb
Method: DFT, PBE
State: relaxed

The structure in POSCAR format:
```
Ac3GeSb
1.0
7.593 0.000 0.000
3.797 7.391 0.201
3.797 2.693 8.066
Ac Sb Ge
6 2 2
direct
0.110 0.331 0.846
0.631 0.331 0.846
0.483 0.027 0.410
0.998 0.027 0.410
0.978 0.586 0.376
0.127 0.785 0.877
0.396 0.614 0.512
0.716 0.748 0.739
0.888 0.019 0.122
0.055 0.183 0.624
```

Computed properties:
space-group type	No. 8
M_tot	0.00	μB/cell
relative energy among the computed polymorphs	0	meV per atom
formation energy without anion corrections	-417	meV per atom
raw total energy	-4.630	eV per atom



Entry 9:
Material: Ac4Ge2Sb
Method: DFT, PBE
State: relaxed

The structure in POSCAR format:
```
Ac4Ge2Sb
1.0
8.045 0.000 -2.928
-3.985 7.035 -2.817
-0.076 0.000 8.561
Ge Sb Ac
4 2 8
direct
0.507 0.382 0.625
0.375 0.882 0.757
0.243 0.618 0.125
0.875 0.118 0.493
0.000 0.000 0.000
0.750 0.500 0.250
0.137 0.889 0.382
0.613 0.745 0.002
0.998 0.611 0.744
0.494 0.111 0.248
0.752 0.245 0.863
0.256 0.255 0.868
0.132 0.389 0.387
0.618 0.755 0.506
```

Computed properties:
space-group type	No. 122
M_tot	0.00	μB/cell
formation energy without anion corrections	-808	meV per atom
raw total energy	-5.064	eV per atom



Entry 10:
Material: AcGeSb2
Method: DFT, PBE
State: relaxed

The structure in POSCAR format:
```
AcGeSb2
1.0
4.244 0.000 0.000
0.000 4.244 0.000
0.000 0.000 6.470
Sb Ac Ge
2 1 1
direct
0.000 0.000 0.773
0.000 0.000 0.227
0.500 0.500 0.500
0.500 0.500 0.000
```

Computed properties:
space-group type	No. 123
M_tot	0.00	μB/cell
relative energy among the computed polymorphs	101	meV per atom
formation energy without anion corrections	-381	meV per atom
raw total energy	-4.624	eV per atom



Entry 11:
Material: AcGeSb2
Method: DFT, PBE
State: relaxed

The structure in POSCAR format:
```
AcGeSb2
1.0
-0.729 3.387 2.719
0.449 -0.531 4.349
7.391 2.984 1.832
Sb Ac Ge
2 1 1
direct
0.261 0.261 0.216
0.739 0.739 0.784
0.500 0.500 0.500
0.000 0.000 0.000
```

Computed properties:
space-group type	No. 166
M_tot	0.00	μB/cell
relative energy among the computed polymorphs	219	meV per atom
formation energy without anion corrections	-264	meV per atom
raw total energy	-4.507	eV per atom



Entry 12:
Material: Ac2GeSb
Method: DFT, PBE
State: relaxed

The structure in POSCAR format:
```
Ac2GeSb
1.0
4.551 0.000 0.000
0.000 4.744 -0.843
0.000 -0.123 13.085
Ac Ge Sb
4 2 2
direct
0.750 0.939 0.877
0.250 0.318 0.635
0.250 0.061 0.123
0.750 0.682 0.365
0.250 0.464 0.928
0.750 0.536 0.072
0.750 0.812 0.624
0.250 0.188 0.376
```

Computed properties:
space-group type	No. 63
M_tot	0.00	μB/cell
relative energy among the computed polymorphs	0	meV per atom
formation energy without anion corrections	-903	meV per atom
raw total energy	-5.142	eV per atom



Entry 13:
Material: AcGeSb2
Method: DFT, PBE
State: relaxed

The structure in POSCAR format:
```
AcGeSb2
1.0
-4.931 0.491 -2.451
-1.809 -3.974 -3.391
-4.192 -3.256 1.546
Ge Ac Sb
1 1 2
direct
0.500 0.500 0.500
0.000 0.000 0.000
0.250 0.250 0.250
0.750 0.750 0.750
```

Computed properties:
space-group type	No. 225
M_tot	0.00	μB/cell
relative energy among the computed polymorphs	209	meV per atom
formation energy without anion corrections	-274	meV per atom
raw total energy	-4.517	eV per atom



Entry 14:
Material: Ac8GeSb5
Method: DFT, PBE
State: relaxed

The structure in POSCAR format:
```
Ac8GeSb5
1.0
-3.493 -7.330 -3.087
7.261 -1.829 4.404
-5.745 3.843 5.263
Sb Ac Ge
5 8 1
direct
0.753 0.630 0.625
0.877 0.871 0.247
0.375 0.129 0.006
0.994 0.370 0.123
0.500 0.000 0.500
0.622 0.392 0.873
0.612 0.878 0.872
0.128 0.740 0.006
0.994 0.122 0.734
0.770 0.251 0.378
0.266 0.260 0.388
0.127 0.749 0.518
0.482 0.608 0.230
0.250 0.500 0.750
```

Computed properties:
space-group type	No. 82
M_tot	0.00	μB/cell
formation energy without anion corrections	-964	meV per atom
raw total energy	-5.113	eV per atom



Entry 15:
Material: Ac2GeSb
Method: DFT, PBE
State: relaxed

The structure in POSCAR format:
```
Ac2GeSb
1.0
-1.208 2.757 -2.930
-3.090 -2.595 -1.167
-4.408 3.114 4.748
Ge Ac Sb
1 2 1
direct
0.500 0.500 0.000
0.000 0.000 0.758
0.000 0.000 0.242
0.500 0.500 0.500
```

Computed properties:
space-group type	No. 123
M_tot	0.00	μB/cell
relative energy among the computed polymorphs	184	meV per atom
formation energy without anion corrections	-719	meV per atom
raw total energy	-4.958	eV per atom



Entry 16:
Material: Ac8Ge5Sb
Method: DFT, PBE
State: relaxed

The structure in POSCAR format:
```
Ac8Ge5Sb
1.0
8.033 0.000 -2.831
-3.975 6.975 -2.843
-0.083 0.000 8.517
Ge Ac Sb
5 8 1
direct
0.747 0.624 0.627
0.500 0.000 0.500
0.002 0.376 0.123
0.373 0.121 0.998
0.877 0.879 0.253
0.749 0.250 0.375
0.637 0.893 0.882
0.256 0.246 0.363
0.625 0.374 0.875
0.118 0.754 0.011
0.125 0.750 0.499
0.501 0.626 0.251
0.989 0.107 0.744
0.250 0.500 0.750
```

Computed properties:
space-group type	No. 82
M_tot	0.00	μB/cell
formation energy without anion corrections	-760	meV per atom
raw total energy	-5.051	eV per atom



Entry 17:
Material: Ac6GeSb2Se3
Method: DFT, PBE
State: relaxed

The structure in POSCAR format:
```
Ac6GeSb2Se3
1.0
4.637 0.000 0.000
0.000 9.196 0.412
-2.319 -2.565 9.696
Sb Se Ac Ge
2 3 6 1
direct
0.167 0.335 0.335
0.833 0.665 0.665
0.500 0.500 0.000
0.832 0.167 0.663
0.168 0.833 0.337
0.338 0.925 0.676
0.662 0.075 0.324
0.002 0.762 0.003
0.336 0.412 0.673
0.664 0.588 0.327
0.998 0.238 0.997
0.500 0.000 0.000
```

Computed properties:
space-group type	No. 12
M_tot	0.00	μB/cell
formation energy without anion corrections	-1501	meV per atom
raw total energy	-5.499	eV per atom



Entry 18:
Material: Ac6GeSb3Se2
Method: DFT, PBE
State: relaxed

The structure in POSCAR format:
```
Ac6GeSb3Se2
1.0
4.676 0.000 0.000
0.000 9.332 0.339
-2.338 -2.679 9.810
Ge Ac Se Sb
1 6 2 3
direct
0.500 0.000 0.000
0.999 0.762 0.998
0.001 0.238 0.002
0.661 0.082 0.322
0.339 0.918 0.678
0.667 0.580 0.334
0.333 0.420 0.666
0.832 0.664 0.663
0.168 0.336 0.337
0.170 0.831 0.339
0.500 0.500 0.000
0.830 0.169 0.661
```

Computed properties:
space-group type	No. 12
M_tot	0.00	μB/cell
formation energy without anion corrections	-1381	meV per atom
raw total energy	-5.432	eV per atom



Entry 19:
Material: Ac6Ge2SbSe3
Method: DFT, PBE
State: relaxed

The structure in POSCAR format:
```
Ac6Ge2SbSe3
1.0
4.611 0.000 0.000
0.000 9.164 0.402
-2.306 -2.567 9.641
Ac Ge Se Sb
6 2 3 1
direct
0.004 0.258 0.008
0.670 0.577 0.340
0.670 0.096 0.339
0.330 0.904 0.661
0.330 0.423 0.660
0.996 0.742 0.992
0.834 0.666 0.667
0.166 0.334 0.333
0.165 0.834 0.330
0.500 0.500 0.000
0.835 0.166 0.670
0.500 0.000 0.000
```

Computed properties:
space-group type	No. 12
M_tot	0.00	μB/cell
formation energy without anion corrections	-1438	meV per atom
raw total energy	-5.477	eV per atom



Entry 20:
Material: AcSnGeSb
Method: DFT, PBE
State: relaxed

The structure in POSCAR format:
```
AcSnGeSb
1.0
5.475 0.000 0.000
2.737 4.741 0.000
2.737 1.580 4.470
Ac Sn Ge Sb
1 1 1 1
direct
0.750 0.750 0.750
0.500 0.500 0.500
0.000 0.000 0.000
0.250 0.250 0.250
```

Computed properties:
space-group type	No. 216
M_tot	0.00	μB/cell
formation energy without anion corrections	-177	meV per atom
raw total energy	-4.390	eV per atom